{
  "formula": "Co2MoPd2",
  "functional": "PBEsol",
  "state": "optimized geometry",
  "delta_e_f_ev_per_atom": 0.459,
  "space_group": "I4/mmm",
  "volume_a3_per_cell": 69.97,
  "cell": [[3.008, 0.000, 0.000], [0.000, 3.008, 0.000], [-1.504, -1.504, 7.735]],
  "species": ["Pd", "Mo", "Co", "Pd", "Co"],
  "fractional_positions": [[0.389, 0.389, 0.779], [0.000, 0.000, 0.000], [0.250, 0.750, 0.500], [0.611, 0.611, 0.221], [0.750, 0.250, 0.500]]
}